No. 1
An optimized crystal structure of BeP2Cl. Source: Alexandria, functional PBE.

Cell: 4.434 12.037 2.567 Å, 90.00 90.00 90.00°
Space group Cmmm (No. 65)
Inequivalent atoms, fractional coordinates:
Be  0.000  0.000  0.000 (multiplicity 2)
P  0.250  0.250  0.500 (multiplicity 4)
Cl  0.000  0.500  0.000 (multiplicity 2)

**Total energy**: -3.51 eV per atom
**E above lowest polymorph**: 93.38 kJ/mol of atoms
**E_form (uncorrected)**: 584 meV/atom
**Mass density**: 2.58 Mg/m³
**Total magnetic moment**: 0.0 μB per formula unit

=====

No. 2
An optimized crystal structure of ScCdSn2. Source: Alexandria, functional PBE.

Cell: 8.052 8.052 6.291 Å, 90.00 90.00 90.00°
Space group I-42d (No. 122)
Inequivalent atoms, fractional coordinates:
Sc  0.000  0.000  0.000 (multiplicity 4)
Cd  0.000  0.000  0.500 (multiplicity 4)
Sn  0.235  0.250  0.625 (multiplicity 8)

**Energy of formation from the pure elements**: -0.065 eV per atom
**Total energy**: -3.88 eV per atom
**Mass density**: 6.43 Mg/m³
**Total magnetic moment**: 0.0 μB per formula unit

=====

No. 3
An optimized crystal structure of Tb3Pr2Te6. Source: Alexandria, functional PBE.

Cell: 7.659 13.197 7.673 Å, 90.00 109.51 90.00°
Space group C2/m (No. 12)
Inequivalent atoms, fractional coordinates:
Tb  0.000  0.000  0.000 (multiplicity 2)
Tb  0.000  0.329  0.000 (multiplicity 4)
Pr  0.000  0.164  0.500 (multiplicity 4)
Te  0.235  0.500  0.244 (multiplicity 4)
Te  0.244  0.339  0.753 (multiplicity 8)

**Total energy**: -5.29 eV per atom
**E_form (uncorrected)**: -1442 meV/atom
**Mass density**: 6.92 Mg/m³
**Total magnetic moment**: 0.0 μB per formula unit

=====

No. 4
An optimized crystal structure of PuNpNiPt. Source: Alexandria, functional PBE.

Cell: 6.470 6.470 6.470 Å, 90.00 90.00 90.00°
Space group F-43m (No. 216)
Inequivalent atoms, fractional coordinates:
Pu  0.000  0.000  0.000 (multiplicity 4)
Np  0.250  0.250  0.250 (multiplicity 4)
Ni  0.250  0.250  0.750 (multiplicity 4)
Pt  0.000  0.000  0.500 (multiplicity 4)

**Energy of formation from the pure elements**: -0.385 eV per atom
**Total energy**: -10.16 eV per atom
**Mass density**: 18.02 Mg/m³
**Total magnetic moment**: 1.8 μB per formula unit

=====

No. 5
An optimized crystal structure of Sb2RuC. Source: Alexandria, functional PBE.

Cell: 6.493 6.493 6.493 Å, 90.00 90.00 90.00°
Space group Fm-3m (No. 225)
Inequivalent atoms, fractional coordinates:
Sb  0.250  0.250  0.250 (multiplicity 8)
Ru  0.000  0.000  0.000 (multiplicity 4)
C  0.000  0.000  0.500 (multiplicity 4)

**Total energy**: -5.34 eV per atom
**E above lowest polymorph**: 55.74 kJ/mol of atoms
**E_form (uncorrected)**: 1348 meV/atom
**Mass density**: 8.65 Mg/m³
**Total magnetic moment**: 0.0 μB per formula unit

=====

No. 6
An optimized crystal structure of NaMgIn2Cl5. Source: Alexandria, functional PBE.

Cell: 3.897 17.211 15.261 Å, 90.00 90.00 90.00°
Space group Cmc2_1 (No. 36)
Inequivalent atoms, fractional coordinates:
Na  0.000  0.035  0.000 (multiplicity 4)
Mg  0.000  0.280  0.576 (multiplicity 4)
In  0.000  0.357  0.842 (multiplicity 4)
In  0.000  0.414  0.203 (multiplicity 4)
Cl  0.000  0.012  0.334 (multiplicity 4)
Cl  0.000  0.134  0.548 (multiplicity 4)
Cl  0.000  0.198  0.970 (multiplicity 4)
Cl  0.000  0.235  0.188 (multiplicity 4)
Cl  0.000  0.425  0.611 (multiplicity 4)

**Total energy**: -3.30 eV per atom
**E_form (uncorrected)**: -1343 meV/atom
**Mass density**: 2.95 Mg/m³
**Total magnetic moment**: 0.0 μB per formula unit

=====

No. 7
An optimized crystal structure of PmPu5Pd6. Source: Alexandria, functional PBE.

Cell: 5.093 6.880 7.870 Å, 90.00 108.09 90.00°
Space group P2/m (No. 10)
Inequivalent atoms, fractional coordinates:
Pm  0.000  0.000  0.000 (multiplicity 1)
Pu  0.000  0.500  0.000 (multiplicity 1)
Pu  0.378  0.000  0.660 (multiplicity 2)
Pu  0.386  0.500  0.664 (multiplicity 2)
Pd  0.099  0.255  0.334 (multiplicity 4)
Pd  0.500  0.256  0.000 (multiplicity 2)

**Energy of formation from the pure elements**: -0.445 eV per atom
**Total energy**: -9.41 eV per atom
**Mass density**: 12.69 Mg/m³
**Total magnetic moment**: 16.9 μB per formula unit

=====

No. 8
An optimized crystal structure of Rb2UPtSe4. Source: Alexandria, functional PBE.

Cell: 6.302 14.624 25.412 Å, 90.00 90.00 90.00°
Space group Fddd (No. 70, origin choice 2)
Inequivalent atoms, fractional coordinates:
Rb  0.125  0.125  0.307 (multiplicity 16)
U  0.125  0.125  0.125 (multiplicity 8)
Pt  0.125  0.125  0.625 (multiplicity 8)
Se  0.114  0.269  0.822 (multiplicity 32)

**Total energy**: -4.93 eV per atom
**E_form (uncorrected)**: -784 meV/atom
**Mass density**: 5.22 Mg/m³
**Total magnetic moment**: 0.0 μB per formula unit

=====

No. 9
An optimized crystal structure of Li5Pr3Ag12. Source: Alexandria, functional PBE.

Cell: 15.671 15.671 15.671 Å, 90.00 90.00 90.00°
Space group Ia-3d (No. 230)
Inequivalent atoms, fractional coordinates:
Li  0.000  0.000  0.000 (multiplicity 16)
Li  0.000  0.250  0.375 (multiplicity 24)
Pr  0.000  0.250  0.125 (multiplicity 24)
Ag  0.060  0.064  0.624 (multiplicity 96)

**Energy of formation from the pure elements**: 0.215 eV per atom
**Total energy**: -2.69 eV per atom
**Mass density**: 6.05 Mg/m³
**Total magnetic moment**: 0.0 μB per formula unit

=====

No. 10
An optimized crystal structure of ZnB2F8. Source: Alexandria, functional PBE.

Cell: 12.811 6.767 9.003 Å, 90.00 127.32 90.00°
Space group C2/c (No. 15)
Inequivalent atoms, fractional coordinates:
Zn  0.000  0.010  0.250 (multiplicity 4)
B  0.097  0.244  0.551 (multiplicity 8)
F  0.035  0.242  0.121 (multiplicity 8)
F  0.091  0.195  0.702 (multiplicity 8)
F  0.156  0.077  0.523 (multiplicity 8)
F  0.162  0.414  0.584 (multiplicity 8)

**Total energy**: -5.35 eV per atom
**E above lowest polymorph**: 0.00 kJ/mol of atoms
**E_form (uncorrected)**: -2661 meV/atom
**Mass density**: 2.56 Mg/m³
**Total magnetic moment**: 0.0 μB per formula unit

=====

No. 11
An optimized crystal structure of Zr3TcPt. Source: Alexandria, functional PBE.

Cell: 5.034 5.034 5.034 Å, 90.00 90.00 90.00°
Space group Pm-3m (No. 221)
Inequivalent atoms, fractional coordinates:
Zr  0.000  0.000  0.500 (multiplicity 3)
Tc  0.500  0.500  0.500 (multiplicity 1)
Pt  0.000  0.000  0.000 (multiplicity 1)

**Energy of formation from the pure elements**: 0.717 eV per atom
**Total energy**: -7.69 eV per atom
**E above lowest polymorph**: 123.42 kJ/mol of atoms
**Mass density**: 7.38 Mg/m³
**Total magnetic moment**: 1.7 μB per formula unit

=====

No. 12
An optimized crystal structure of Er2ZnRu. Source: Alexandria, functional PBE.

Cell: 6.886 6.886 6.886 Å, 90.00 90.00 90.00°
Space group Fm-3m (No. 225)
Inequivalent atoms, fractional coordinates:
Er  0.250  0.250  0.250 (multiplicity 8)
Zn  0.000  0.000  0.000 (multiplicity 4)
Ru  0.000  0.000  0.500 (multiplicity 4)

**Energy of formation from the pure elements**: -0.395 eV per atom
**Total energy**: -5.31 eV per atom
**E above lowest polymorph**: 4.60 kJ/mol of atoms
**Mass density**: 10.19 Mg/m³
**Total magnetic moment**: 0.0 μB per formula unit